(1)
The following is a PBE-GGA calculation of a relaxed structure of TbPm2ScTe4, from the Alexandria database.

Properties
- Crystal system: monoclinic
- Symmetry: P2/m (10)
- Formation energy from raw total energies: -29.9 kcal/mol of atoms
- Calculated total energy: -5.43 eV per atom

```
8
Lattice="4.321 0.000 0.000 0.000 7.536 0.145 0.000 -2.620 7.212" Properties=species:S:1:pos:R:3 pbc="T T T"
Tb 2.160 3.768 0.073
Te 2.160 3.741 5.654
Te 0.000 5.054 1.817
Sc 0.000 0.000 0.000
Te 0.000 -0.138 5.540
Pm 2.160 -1.310 3.606
Pm 0.000 2.458 3.679
Te 2.160 1.175 1.703
```

***

(2)
The following is a PBE-GGA calculation of a relaxed structure of La6HgIr, from the Alexandria database.

Properties
- Crystal system: triclinic
- Symmetry: P-1 (2)
- Calculated total energy: -5.05 eV per atom
- ΔH_f (0 K): -0.205 eV/atom

```
8
Lattice="-5.152 4.184 2.525 -6.513 -2.654 1.090 -2.102 -1.196 7.619" Properties=species:S:1:pos:R:3 pbc="T T T"
La -4.542 -1.821 6.310
La -9.225 2.155 4.924
Ir 0.000 0.000 0.000
Hg -6.883 0.167 5.617
La -4.927 1.561 3.586
La -7.864 -1.919 3.474
La -5.902 2.253 7.760
La -8.840 -1.227 7.648
```

***

(3)
The following is a PBE-GGA calculation of a relaxed structure of ZnFeIr3, from the Alexandria database.

Properties
- Crystal system: triclinic
- Symmetry: P-1 (2)
- E above lowest polymorph: 0.000 eV/atom
- Calculated total energy: -7.13 eV per atom
- ΔH_f (0 K): 0.132 eV/atom

```
10
Lattice="-0.869 -4.111 -2.822 -2.834 -3.170 2.971 -3.299 5.374 -2.894" Properties=species:S:1:pos:R:3 pbc="T T T"
Zn -4.310 -1.763 -2.217
Ir -1.750 -1.629 -3.164
Ir -4.716 3.789 -1.409
Fe -5.444 0.799 -1.925
Zn -2.692 -0.143 -0.528
Ir -3.278 0.568 -3.319
Ir 0.000 0.000 0.000
Ir -5.252 -0.277 0.418
Ir -3.724 -2.474 0.574
Fe -1.558 -2.705 -0.820
```